# LaPr2Gd, optimized geometry, DFT PBE-GGA
# Energy above the lowest structure with this stoichiometry (meV per atom): 119
# Space-group type: R-3m, No. 166
data_LaPr2Gd
_chemical_formula_sum 'La3 Pr6 Gd3'
_space_group_name_H-M_alt 'P 1'
_space_group_IT_number 1
_cell_length_a 3.5849
_cell_length_b 3.5849
_cell_length_c 38.5329
_cell_angle_alpha 90.00
_cell_angle_beta 90.00
_cell_angle_gamma 120.00
loop_
_space_group_symop_operation_xyz
'x,y,z'
loop_
_atom_site_label
_atom_site_type_symbol
_atom_site_fract_x
_atom_site_fract_y
_atom_site_fract_z
La1 La 0.0000 0.0000 0.0000
La2 La 0.3333 0.6667 0.6667
La3 La 0.6667 0.3333 0.3333
Pr1 Pr 0.0000 0.0000 0.0900
Pr2 Pr 0.0000 0.0000 0.9100
Pr3 Pr 0.3333 0.6667 0.5766
Pr4 Pr 0.3333 0.6667 0.7567
Pr5 Pr 0.6667 0.3333 0.2433
Pr6 Pr 0.6667 0.3333 0.4234
Gd1 Gd 0.0000 0.0000 0.5000
Gd2 Gd 0.3333 0.6667 0.1667
Gd3 Gd 0.6667 0.3333 0.8333

=====

# La2PrGd, optimized geometry, DFT PBE-GGA
# Energy above the lowest structure with this stoichiometry (meV per atom): 95
# Space-group type: Fm-3m, No. 225
data_La2PrGd
_chemical_formula_sum 'La8 Pr4 Gd4'
_space_group_name_H-M_alt 'P 1'
_space_group_IT_number 1
_cell_length_a 8.3236
_cell_length_b 8.3236
_cell_length_c 8.3236
_cell_angle_alpha 90.00
_cell_angle_beta 90.00
_cell_angle_gamma 90.00
loop_
_space_group_symop_operation_xyz
'x,y,z'
loop_
_atom_site_label
_atom_site_type_symbol
_atom_site_fract_x
_atom_site_fract_y
_atom_site_fract_z
La1 La 0.2500 0.2500 0.2500
La2 La 0.2500 0.2500 0.7500
La3 La 0.2500 0.7500 0.2500
La4 La 0.2500 0.7500 0.7500
La5 La 0.7500 0.2500 0.2500
La6 La 0.7500 0.2500 0.7500
La7 La 0.7500 0.7500 0.2500
La8 La 0.7500 0.7500 0.7500
Pr1 Pr 0.0000 0.0000 0.0000
Pr2 Pr 0.0000 0.5000 0.5000
Pr3 Pr 0.5000 0.0000 0.5000
Pr4 Pr 0.5000 0.5000 0.0000
Gd1 Gd 0.0000 0.0000 0.5000
Gd2 Gd 0.0000 0.5000 0.0000
Gd3 Gd 0.5000 0.0000 0.0000
Gd4 Gd 0.5000 0.5000 0.5000

=====

# La2PrGd, optimized geometry, DFT PBE-GGA
# Energy above the lowest structure with this stoichiometry (meV per atom): 7
# Space-group type: P4/mmm, No. 123
data_La2PrGd
_chemical_formula_sum 'La2 Pr1 Gd1'
_space_group_name_H-M_alt 'P 1'
_space_group_IT_number 1
_cell_length_a 3.7095
_cell_length_b 3.7095
_cell_length_c 10.3924
_cell_angle_alpha 90.00
_cell_angle_beta 90.00
_cell_angle_gamma 90.00
loop_
_space_group_symop_operation_xyz
'x,y,z'
loop_
_atom_site_label
_atom_site_type_symbol
_atom_site_fract_x
_atom_site_fract_y
_atom_site_fract_z
La1 La 0.0000 0.0000 0.2471
La2 La 0.0000 0.0000 0.7529
Pr1 Pr 0.5000 0.5000 0.5000
Gd1 Gd 0.5000 0.5000 0.0000

=====

# LaPrGdPu, optimized geometry, DFT PBE-GGA
# Space-group type: F-43m, No. 216
data_LaPrGdPu
_chemical_formula_sum 'La4 Pr4 Gd4 Pu4'
_space_group_name_H-M_alt 'P 1'
_space_group_IT_number 1
_cell_length_a 8.1189
_cell_length_b 8.1189
_cell_length_c 8.1189
_cell_angle_alpha 90.00
_cell_angle_beta 90.00
_cell_angle_gamma 90.00
loop_
_space_group_symop_operation_xyz
'x,y,z'
loop_
_atom_site_label
_atom_site_type_symbol
_atom_site_fract_x
_atom_site_fract_y
_atom_site_fract_z
La1 La 0.0000 0.0000 0.0000
La2 La 0.0000 0.5000 0.5000
La3 La 0.5000 0.0000 0.5000
La4 La 0.5000 0.5000 0.0000
Pr1 Pr 0.0000 0.0000 0.5000
Pr2 Pr 0.0000 0.5000 0.0000
Pr3 Pr 0.5000 0.0000 0.0000
Pr4 Pr 0.5000 0.5000 0.5000
Gd1 Gd 0.2500 0.2500 0.7500
Gd2 Gd 0.2500 0.7500 0.2500
Gd3 Gd 0.7500 0.2500 0.2500
Gd4 Gd 0.7500 0.7500 0.7500
Pu1 Pu 0.2500 0.2500 0.2500
Pu2 Pu 0.2500 0.7500 0.7500
Pu3 Pu 0.7500 0.2500 0.7500
Pu4 Pu 0.7500 0.7500 0.2500

=====

Energy relative to the elements in eV per atom, matching the order above: 0.1287; 0.1035; 0.0150; 0.2353